# 1
{"formula": "KCu2Pb", "functional": "PBE-GGA", "state": "optimized geometry", "dft_energy_ev_per_atom": -2.99, "density_g_cm3": 5.79, "cell": [[-1.253, -3.052, -2.597], [3.919, -1.365, -0.287], [0.991, -4.368, 4.655]], "species": ["Cu", "Cu", "K", "Pb"], "fractional_positions": [[0.000, 0.194, 0.981], [0.500, 0.101, 0.174], [0.000, 0.464, 0.452], [0.500, 0.740, 0.892]]}

---

# 2
{"formula": "K2CuPb", "functional": "PBE-GGA", "state": "optimized geometry", "dft_energy_ev_per_atom": -2.25, "density_g_cm3": 4.71, "cell": [[-1.905, 4.208, -3.112], [-4.998, -2.454, -0.123], [2.409, 1.082, 4.904]], "species": ["Cu", "K", "K", "Pb"], "fractional_positions": [[0.750, 0.250, 0.500], [0.000, 0.000, 0.000], [0.250, 0.750, 0.500], [0.500, 0.500, 0.000]]}

---

# 3
{"formula": "KCuPb", "functional": "PBE-GGA", "state": "optimized geometry", "dft_energy_ev_per_atom": -2.84, "density_g_cm3": 5.78, "cell": [[-1.926, -1.128, 6.531], [1.801, -1.394, 6.499], [0.195, 3.315, 1.716]], "species": ["Cu", "K", "Pb"], "fractional_positions": [[0.044, 0.044, 0.956], [0.337, 0.337, 0.663], [0.619, 0.619, 0.381]]}

---

# 4
{"formula": "KCu2Pb", "functional": "PBE-GGA", "state": "optimized geometry", "dft_energy_ev_per_atom": -3.04, "density_g_cm3": 6.61, "cell": [[-1.071, -3.180, -0.432], [1.928, -1.002, 2.593], [-6.216, 1.392, 5.161]], "species": ["Cu", "Cu", "K", "Pb"], "fractional_positions": [[0.000, 0.000, 0.055], [0.500, 0.500, 0.156], [0.000, 0.000, 0.464], [0.500, 0.500, 0.825]]}

---

# 5
{"formula": "KCu2Pb", "functional": "PBE-GGA", "state": "optimized geometry", "dft_energy_ev_per_atom": -2.73, "density_g_cm3": 6.70, "cell": [[5.623, 0.008, 0.000], [2.083, 5.223, 0.000], [-3.853, -2.616, 3.152]], "species": ["Cu", "Cu", "K", "Pb"], "fractional_positions": [[0.000, 0.000, 0.000], [0.250, 0.750, 0.500], [0.500, 0.500, 0.000], [0.750, 0.250, 0.500]]}

---

# 6
{"formula": "KCu2Pb", "functional": "PBE-GGA", "state": "optimized geometry", "dft_energy_ev_per_atom": -2.91, "density_g_cm3": 6.06, "cell": [[-2.790, 2.136, -1.315], [-1.381, -2.955, -1.868], [-4.050, -1.747, 5.759]], "species": ["Cu", "Cu", "K", "Pb"], "fractional_positions": [[0.000, 0.000, 0.921], [0.000, 0.000, 0.579], [0.500, 0.500, 0.250], [0.500, 0.500, 0.750]]}

---

# 7
{"formula": "KCu2Pb2", "functional": "PBE-GGA", "state": "optimized geometry", "de_polymorph_mev_per_atom": 77, "density_g_cm3": 7.90, "cell": [[-4.550, -1.548, 7.127], [5.117, -6.664, 1.820], [1.997, 2.001, 1.710]], "species": ["Pb", "Pb", "Pb", "Pb", "K", "K", "Cu", "Cu", "Cu", "Cu"], "fractional_positions": [[0.158, 0.658, 0.500], [0.658, 0.842, 0.500], [0.842, 0.342, 0.500], [0.342, 0.158, 0.500], [0.000, 0.000, 0.000], [0.500, 0.500, 0.000], [0.380, 0.880, 0.000], [0.880, 0.620, 0.000], [0.620, 0.120, 0.000], [0.120, 0.380, 0.000]]}

---

# 8
{"formula": "KCu2Pb", "functional": "PBE-GGA", "state": "optimized geometry", "dft_energy_ev_per_atom": -3.17, "density_g_cm3": 5.77, "cell": [[-1.788, 4.033, 0.430], [-3.176, 1.326, -2.793], [-6.054, -0.567, 3.084]], "species": ["Cu", "Cu", "K", "Pb"], "fractional_positions": [[0.021, 0.021, 0.938], [0.689, 0.689, 0.936], [0.490, 0.490, 0.526], [0.300, 0.300, 0.101]]}

---

# 9
{"formula": "KCu2Pb2", "functional": "PBE-GGA", "state": "optimized geometry", "de_polymorph_mev_per_atom": 110, "density_g_cm3": 7.88, "cell": [[8.728, 0.000, 0.000], [0.000, 8.728, 0.000], [0.000, 0.000, 3.212]], "species": ["Pb", "Pb", "Pb", "Pb", "K", "K", "Cu", "Cu", "Cu", "Cu"], "fractional_positions": [[0.358, 0.858, 0.000], [0.858, 0.642, 0.000], [0.642, 0.142, 0.000], [0.142, 0.358, 0.000], [0.000, 0.000, 0.000], [0.500, 0.500, 0.000], [0.143, 0.643, 0.500], [0.643, 0.857, 0.500], [0.857, 0.357, 0.500], [0.357, 0.143, 0.500]]}

---

# 10
{"formula": "K2CuPb", "functional": "PBE-GGA", "state": "optimized geometry", "dft_energy_ev_per_atom": -2.21, "density_g_cm3": 4.49, "cell": [[-4.686, 0.972, 0.602], [-1.127, -3.500, -3.121], [-0.221, -3.652, 4.175]], "species": ["Cu", "K", "K", "Pb"], "fractional_positions": [[0.000, 0.500, 0.500], [0.000, 0.000, 0.000], [0.500, 0.500, 0.000], [0.500, 0.000, 0.500]]}

---

# 11
{"formula": "KCuPb3", "functional": "PBE-GGA", "state": "optimized geometry", "de_polymorph_mev_per_atom": 0, "density_g_cm3": 7.45, "cell": [[-0.544, 5.184, -1.574], [-0.076, -1.589, -5.207], [-5.417, -0.498, 0.231]], "species": ["Pb", "Pb", "Pb", "K", "Cu"], "fractional_positions": [[0.000, 0.500, 0.000], [0.000, 0.000, 0.500], [0.500, 0.000, 0.000], [0.500, 0.500, 0.500], [0.000, 0.000, 0.000]]}

---

# 12
{"formula": "KCu2Pb", "functional": "PBE-GGA", "state": "optimized geometry", "dft_energy_ev_per_atom": -3.12, "density_g_cm3": 5.49, "cell": [[-0.228, 2.131, 4.100], [-3.861, -0.271, 2.534], [0.783, -4.392, 4.922]], "species": ["Cu", "Cu", "K", "Pb"], "fractional_positions": [[0.927, 0.927, 0.218], [0.573, 0.573, 0.282], [0.750, 0.750, 0.750], [0.250, 0.250, 0.250]]}

---

# 13
{"formula": "KCu3Pb", "functional": "PBE-GGA", "state": "optimized geometry", "de_polymorph_mev_per_atom": 0, "density_g_cm3": 5.40, "cell": [[5.122, 0.000, 0.000], [0.000, 5.122, 0.000], [0.000, 0.000, 5.122]], "species": ["Pb", "K", "Cu", "Cu", "Cu"], "fractional_positions": [[0.000, 0.000, 0.000], [0.500, 0.500, 0.500], [0.000, 0.500, 0.000], [0.000, 0.000, 0.500], [0.500, 0.000, 0.000]]}

---

# 14
{"formula": "KCuPb", "functional": "PBE-GGA", "state": "optimized geometry", "dft_energy_ev_per_atom": -2.62, "density_g_cm3": 5.64, "cell": [[-1.251, -4.235, 2.456], [3.459, -2.431, 2.768], [-0.337, 0.009, 5.042]], "species": ["Cu", "K", "Pb"], "fractional_positions": [[0.750, 0.750, 0.750], [0.000, 0.000, 0.000], [0.500, 0.500, 0.500]]}

---

# 15
{"formula": "KCu2Pb2", "functional": "PBE-GGA", "state": "optimized geometry", "de_polymorph_mev_per_atom": 0, "density_g_cm3": 7.19, "cell": [[-1.821, 2.351, 3.761], [-3.244, -3.479, 0.604], [1.149, -3.381, 5.727]], "species": ["Pb", "Pb", "K", "Cu", "Cu"], "fractional_positions": [[0.358, 0.358, 0.285], [0.642, 0.642, 0.715], [0.000, 0.000, 0.000], [0.750, 0.250, 0.500], [0.250, 0.750, 0.500]]}

---

Number 1: Fermi-level density of states 0.365 states/eV per atom. Number 2: Fermi-level density of states 1.273 states/eV per atom. Number 3: Fermi-level density of states 0.353 states/eV per atom. Number 4: Fermi-level density of states 0.649 states/eV per atom. Number 5: Fermi-level density of states 0.454 states/eV per atom. Number 6: Fermi-level density of states 0.367 states/eV per atom. Number 7: Fermi-level density of states 0.286 states/eV per atom. Number 8: Fermi-level density of states 0.255 states/eV per atom. Number 9: Fermi-level density of states 0.405 states/eV per atom. Number 10: Fermi-level density of states 0.826 states/eV per atom. Number 11: Fermi-level density of states 0.797 states/eV per atom. Number 12: Fermi-level density of states 0.678 states/eV per atom. Number 13: Fermi-level density of states 0.041 states/eV per atom. Number 14: Fermi-level density of states 0.743 states/eV per atom. Number 15: Fermi-level density of states 0.474 states/eV per atom.